# GePdIN2, optimized geometry, DFT PBE-GGA
# calculated volume: 111 Å³/f.u.
# uncorrected formation energy: 1.58 eV per atom
# energy above the lowest structure with this stoichiometry: 0.421 eV per atom
data_GePdIN2
_chemical_formula_sum 'Ge1 Pd1 I1 N2'
_cell_length_a 3.9420
_cell_length_b 3.9420
_cell_length_c 7.1491
_cell_angle_alpha 90.00
_cell_angle_beta 90.00
_cell_angle_gamma 90.00
_space_group_name_H-M_alt 'P 4/m m m'
_space_group_IT_number 123
_space_group_name_Hall '-P 4 2'
loop_
_atom_site_label
_atom_site_fract_x
_atom_site_fract_y
_atom_site_fract_z
Ge1 0.0000 0.0000 0.0000
Pd1 0.5000 0.5000 0.5000
I1 0.5000 0.5000 0.0000
N1 0.0000 0.5000 0.5000